# 1
The following is a DFT calculation (PBE-GGA) of Pm9Sm2Tm after structural relaxation.

Values from the calculation:
SG ... P4/mmm, No. 123
Crystal system ... tetragonal
Magnetic moment ... 0.0 μB/f.u.
Energy of formation ... 0.017 eV/atom

POSCAR file:
```
Pm9Sm2Tm
1.0
5.135 0.000 0.000
0.000 5.135 0.000
0.000 0.000 15.402
Pm Sm Tm
9 2 1
Direct
0.000 0.000 0.000
0.000 0.000 0.332
0.000 0.000 0.668
0.000 0.500 0.165
0.000 0.500 0.500
0.000 0.500 0.835
0.500 0.000 0.165
0.500 0.000 0.500
0.500 0.000 0.835
0.500 0.500 0.332
0.500 0.500 0.668
0.500 0.500 0.000
```

# 2
The following is a DFT calculation (PBE-GGA) of PmSm6Tm6 after structural relaxation.

Values from the calculation:
SG ... Cmmm, No. 65
Crystal system ... orthorhombic
Magnetic moment ... 0.0 μB/f.u.
Energy of formation ... 0.212 eV/atom

POSCAR file:
```
PmSm6Tm6
1.0
3.532 -5.573 0.000
3.532 5.573 0.000
0.000 0.000 11.041
Pm Sm Tm
1 6 6
Direct
0.000 0.000 0.000
0.000 0.000 0.331
0.000 0.000 0.669
0.266 0.734 0.500
0.358 0.642 0.000
0.642 0.358 0.000
0.734 0.266 0.500
0.000 0.500 0.226
0.000 0.500 0.774
0.500 0.000 0.226
0.500 0.000 0.774
0.500 0.500 0.300
0.500 0.500 0.700
```

# 3
The following is a DFT calculation (PBE-GGA) of Pm2Sm3Tm3 after structural relaxation.

Values from the calculation:
SG ... Immm, No. 71
Crystal system ... orthorhombic
Magnetic moment ... 0.0 μB/f.u.
Energy of formation ... 0.021 eV/atom

POSCAR file:
```
Pm2Sm3Tm3
1.0
-2.529 2.538 10.110
2.529 -2.538 10.110
2.529 2.538 -10.110
Pm Sm Tm
2 3 3
Direct
0.250 0.250 0.000
0.750 0.750 0.000
0.000 0.000 0.000
0.377 0.877 0.500
0.623 0.123 0.500
0.124 0.624 0.500
0.500 0.500 0.000
0.876 0.376 0.500
```

# 4
The following is a DFT calculation (PBE-GGA) of Pm3Sm2Tm3 after structural relaxation.

Values from the calculation:
SG ... R32, No. 155
Crystal system ... trigonal
Magnetic moment ... 0.0 μB/f.u.
Energy of formation ... 0.127 eV/atom

POSCAR file:
```
Pm3Sm2Tm3
1.0
4.810 2.777 3.355
-4.810 2.777 3.355
0.000 -5.554 3.355
Pm Sm Tm
3 2 3
Direct
0.000 0.711 0.289
0.289 0.000 0.711
0.711 0.289 0.000
0.303 0.303 0.303
0.697 0.697 0.697
0.190 0.500 0.810
0.500 0.810 0.190
0.810 0.190 0.500
```

# 5
The following is a DFT calculation (PBE-GGA) of Pm2Sm3Tm2 after structural relaxation.

Values from the calculation:
SG ... C2/m, No. 12
Crystal system ... monoclinic
Magnetic moment ... 0.0 μB/f.u.
Energy of formation ... 0.118 eV/atom

POSCAR file:
```
Pm2Sm3Tm2
1.0
8.817 -1.761 0.000
8.817 1.761 0.000
-4.170 0.000 7.501
Pm Sm Tm
2 3 2
Direct
0.065 0.065 0.412
0.935 0.935 0.588
0.288 0.288 0.704
0.500 0.500 0.000
0.712 0.712 0.296
0.352 0.352 0.168
0.648 0.648 0.832
```

# 6
The following is a DFT calculation (PBE-GGA) of Pm4Sm3Tm8 after structural relaxation.

Values from the calculation:
SG ... C2/m, No. 12
Crystal system ... monoclinic
Magnetic moment ... 0.0 μB/f.u.
Energy of formation ... 0.373 eV/atom

POSCAR file:
```
Pm4Sm3Tm8
1.0
6.682 -6.416 0.000
6.682 6.416 0.000
-3.374 0.000 5.812
Pm Sm Tm
4 3 8
Direct
0.000 0.000 0.000
0.000 0.000 0.500
0.000 0.500 0.000
0.500 0.000 0.000
0.000 0.500 0.500
0.500 0.000 0.500
0.500 0.500 0.000
0.255 0.745 0.000
0.268 0.268 0.028
0.268 0.268 0.507
0.362 0.638 0.500
0.638 0.362 0.500
0.732 0.732 0.493
0.732 0.732 0.972
0.745 0.255 0.000
```

# 7
The following is a DFT calculation (PBE-GGA) of PmSm2Tm12 after structural relaxation.

Values from the calculation:
SG ... P2/m, No. 10
Crystal system ... monoclinic
Magnetic moment ... 0.0 μB/f.u.
Energy of formation ... 0.109 eV/atom

POSCAR file:
```
PmSm2Tm12
1.0
3.531 0.000 0.000
0.000 5.562 0.000
-1.673 0.000 23.865
Pm Sm Tm
1 2 12
Direct
0.000 0.000 0.000
0.356 0.000 0.718
0.644 0.000 0.282
0.093 0.500 0.193
0.169 0.500 0.331
0.216 0.000 0.428
0.276 0.500 0.555
0.435 0.000 0.863
0.466 0.500 0.932
0.534 0.500 0.068
0.565 0.000 0.137
0.724 0.500 0.445
0.784 0.000 0.572
0.831 0.500 0.669
0.907 0.500 0.807
```

# 8
The following is a DFT calculation (PBE-GGA) of PmSm2Tm8 after structural relaxation.

Values from the calculation:
SG ... C2/m, No. 12
Crystal system ... monoclinic
Magnetic moment ... 0.0 μB/f.u.
Energy of formation ... 0.025 eV/atom

POSCAR file:
```
PmSm2Tm8
1.0
8.994 -2.496 0.000
8.994 2.496 0.000
-2.070 0.000 7.610
Pm Sm Tm
1 2 8
Direct
0.000 0.000 0.000
0.272 0.272 0.363
0.728 0.728 0.637
0.090 0.090 0.455
0.182 0.182 0.908
0.364 0.364 0.820
0.455 0.455 0.274
0.545 0.545 0.726
0.636 0.636 0.180
0.818 0.818 0.092
0.910 0.910 0.545
```

# 9
The following is a DFT calculation (PBE-GGA) of PmSm3Tm3 after structural relaxation.

Values from the calculation:
SG ... P6_3/m, No. 176
Crystal system ... hexagonal
Magnetic moment ... 0.0 μB/f.u.
Energy of formation ... 0.016 eV/atom

POSCAR file:
```
PmSm3Tm3
1.0
9.601 0.000 0.000
-4.801 8.315 0.000
0.000 0.000 5.707
Pm Sm Tm
2 6 6
Direct
0.333 0.667 0.250
0.667 0.333 0.750
0.050 0.809 0.250
0.191 0.241 0.250
0.241 0.050 0.750
0.759 0.950 0.250
0.809 0.759 0.750
0.950 0.191 0.750
0.095 0.617 0.750
0.383 0.478 0.750
0.478 0.095 0.250
0.522 0.905 0.750
0.617 0.522 0.250
0.905 0.383 0.250
```

# 10
The following is a DFT calculation (PBE-GGA) of PmSm15Tm4 after structural relaxation.

Values from the calculation:
SG ... P4/mmm, No. 123
Crystal system ... tetragonal
Magnetic moment ... 0.0 μB/f.u.
Energy of formation ... 0.016 eV/atom

POSCAR file:
```
PmSm15Tm4
1.0
5.096 0.000 0.000
0.000 5.096 0.000
0.000 0.000 25.407
Pm Sm Tm
1 15 4
Direct
0.000 0.000 0.000
0.000 0.500 0.102
0.000 0.500 0.301
0.000 0.500 0.500
0.000 0.500 0.699
0.000 0.500 0.898
0.500 0.000 0.102
0.500 0.000 0.301
0.500 0.000 0.500
0.500 0.000 0.699
0.500 0.000 0.898
0.500 0.500 0.000
0.500 0.500 0.202
0.500 0.500 0.400
0.500 0.500 0.600
0.500 0.500 0.798
0.000 0.000 0.201
0.000 0.000 0.400
0.000 0.000 0.600
0.000 0.000 0.799
```

# 11
The following is a DFT calculation (PBE-GGA) of Pm2Sm2Tm7 after structural relaxation.

Values from the calculation:
SG ... C2/m, No. 12
Crystal system ... monoclinic
Magnetic moment ... 0.0 μB/f.u.
Energy of formation ... 0.155 eV/atom

POSCAR file:
```
Pm2Sm2Tm7
1.0
5.586 -5.769 0.000
5.586 5.769 0.000
-2.440 0.000 5.518
Pm Sm Tm
2 2 7
Direct
0.210 0.790 0.000
0.790 0.210 0.000
0.402 0.402 0.689
0.598 0.598 0.311
0.000 0.000 0.500
0.065 0.590 0.324
0.234 0.234 0.077
0.410 0.935 0.676
0.590 0.065 0.324
0.766 0.766 0.923
0.935 0.410 0.676
```

# 12
The following is a DFT calculation (PBE-GGA) of PmSm4Tm3 after structural relaxation.

Values from the calculation:
SG ... Pmn2_1, No. 31
Crystal system ... orthorhombic
Magnetic moment ... 0.0 μB/f.u.
Energy of formation ... 0.022 eV/atom

POSCAR file:
```
PmSm4Tm3
1.0
11.429 0.000 0.000
0.000 7.295 0.000
0.000 0.000 6.294
Pm Sm Tm
2 8 6
Direct
0.000 0.124 0.000
0.500 0.876 0.500
0.000 0.372 0.503
0.000 0.628 0.995
0.246 0.626 0.333
0.254 0.374 0.833
0.500 0.372 0.495
0.500 0.628 0.003
0.746 0.374 0.833
0.754 0.626 0.333
0.000 0.878 0.499
0.250 0.122 0.332
0.250 0.878 0.832
0.500 0.122 0.999
0.750 0.122 0.332
0.750 0.878 0.832
```

# 13
The following is a DFT calculation (PBE-GGA) of Pm3Sm3Tm after structural relaxation.

Values from the calculation:
SG ... R-3, No. 148
Crystal system ... trigonal
Magnetic moment ... 0.0 μB/f.u.
Energy of formation ... 0.224 eV/atom

POSCAR file:
```
Pm3Sm3Tm
1.0
4.370 2.523 7.349
-4.370 2.523 7.349
0.000 -5.046 7.349
Pm Sm Tm
6 6 2
Direct
0.063 0.294 0.819
0.181 0.937 0.706
0.294 0.819 0.063
0.706 0.181 0.937
0.819 0.063 0.294
0.937 0.706 0.181
0.068 0.721 0.567
0.279 0.433 0.932
0.433 0.932 0.279
0.567 0.068 0.721
0.721 0.567 0.068
0.932 0.279 0.433
0.346 0.346 0.346
0.654 0.654 0.654
```

# 14
The following is a DFT calculation (PBE-GGA) of Pm5Sm3Tm after structural relaxation.

Values from the calculation:
SG ... C2/m, No. 12
Crystal system ... monoclinic
Magnetic moment ... 0.0 μB/f.u.
Energy of formation ... 0.488 eV/atom

POSCAR file:
```
Pm5Sm3Tm
1.0
7.676 -5.850 0.000
7.676 5.850 0.000
-6.326 0.000 7.614
Pm Sm Tm
10 6 2
Direct
0.096 0.602 0.262
0.227 0.227 0.232
0.247 0.753 0.000
0.275 0.275 0.953
0.398 0.904 0.738
0.602 0.096 0.262
0.725 0.725 0.047
0.753 0.247 0.000
0.773 0.773 0.768
0.904 0.398 0.738
0.000 0.000 0.500
0.006 0.006 0.819
0.485 0.485 0.649
0.500 0.500 0.000
0.515 0.515 0.351
0.994 0.994 0.181
0.251 0.251 0.595
0.749 0.749 0.405
```

# 15
The following is a DFT calculation (PBE-GGA) of Pm4Sm6Tm after structural relaxation.

Values from the calculation:
SG ... I-42m, No. 121
Crystal system ... tetragonal
Magnetic moment ... 0.0 μB/f.u.
Energy of formation ... 0.388 eV/atom

POSCAR file:
```
Pm4Sm6Tm
1.0
-3.801 3.801 6.770
3.801 -3.801 6.770
3.801 3.801 -6.770
Pm Sm Tm
4 6 1
Direct
0.248 0.248 0.655
0.407 0.752 0.000
0.593 0.593 0.345
0.752 0.407 0.000
0.000 0.500 0.500
0.040 0.586 0.000
0.414 0.414 0.454
0.500 0.000 0.500
0.586 0.040 0.000
0.960 0.960 0.546
0.000 0.000 0.000
```

# 16
The following is a DFT calculation (PBE-GGA) of Pm3Sm2Tm7 after structural relaxation.

Values from the calculation:
SG ... P2/m, No. 10
Crystal system ... monoclinic
Magnetic moment ... 0.0 μB/f.u.
Energy of formation ... 0.089 eV/atom

POSCAR file:
```
Pm3Sm2Tm7
1.0
5.779 0.000 0.000
0.000 3.559 0.000
-1.044 0.000 18.690
Pm Sm Tm
3 2 7
Direct
0.000 0.000 0.000
0.276 0.500 0.631
0.724 0.500 0.369
0.210 0.000 0.291
0.790 0.000 0.709
0.190 0.500 0.142
0.243 0.000 0.461
0.307 0.000 0.828
0.500 0.500 0.000
0.693 0.000 0.172
0.757 0.000 0.539
0.810 0.500 0.858
```

# 17
The following is a DFT calculation (PBE-GGA) of Pm2SmTm after structural relaxation.

Values from the calculation:
SG ... I4/mmm, No. 139
Crystal system ... tetragonal
Magnetic moment ... 0.0 μB/f.u.
Energy of formation ... 0.017 eV/atom

POSCAR file:
```
Pm2SmTm
1.0
-2.555 2.555 5.068
2.555 -2.555 5.068
2.555 2.555 -5.068
Pm Sm Tm
2 1 1
Direct
0.250 0.750 0.500
0.750 0.250 0.500
0.000 0.000 0.000
0.500 0.500 0.000
```

# 18
The following is a DFT calculation (PBE-GGA) of Pm4SmTm5 after structural relaxation.

Values from the calculation:
SG ... C2/m, No. 12
Crystal system ... monoclinic
Magnetic moment ... 0.0 μB/f.u.
Energy of formation ... 0.021 eV/atom

POSCAR file:
```
Pm4SmTm5
1.0
9.245 -1.783 0.000
9.245 1.783 0.000
-2.795 0.000 9.701
Pm Sm Tm
4 1 5
Direct
0.100 0.100 0.305
0.300 0.300 0.899
0.700 0.700 0.101
0.900 0.900 0.695
0.500 0.500 0.000
0.100 0.100 0.796
0.301 0.301 0.400
0.500 0.500 0.500
0.699 0.699 0.600
0.900 0.900 0.204
```

# 19
The following is a DFT calculation (PBE-GGA) of Pm3SmTm5 after structural relaxation.

Values from the calculation:
SG ... I4/mcm, No. 140
Crystal system ... tetragonal
Magnetic moment ... 0.0 μB/f.u.
Energy of formation ... 0.258 eV/atom

POSCAR file:
```
Pm3SmTm5
1.0
-4.333 4.333 7.682
4.333 -4.333 7.682
4.333 4.333 -7.682
Pm Sm Tm
6 2 10
Direct
0.117 0.617 0.733
0.250 0.250 0.000
0.383 0.117 0.500
0.617 0.883 0.500
0.750 0.750 0.000
0.883 0.383 0.267
0.250 0.750 0.500
0.750 0.250 0.500
0.000 0.000 0.000
0.072 0.153 0.500
0.153 0.653 0.081
0.347 0.428 0.500
0.428 0.928 0.081
0.500 0.500 0.000
0.572 0.072 0.919
0.653 0.572 0.500
0.847 0.347 0.919
0.928 0.847 0.500
```